No. 1
Compound: LaTeAs2Br
Source: Alexandria via LeMat-Bulk
Functional: GGA-PBE
Structure: relaxed

Geometry as POSCAR:
```
LaTeAs2Br
1.0
-0.9931 -0.0511 5.2851
5.0142 -1.7093 0.9257
1.6509 5.0372 0.3589
As Te Br La
2 1 1 1
Direct
0.0000 0.5000 0.0000
0.5000 0.0000 0.0000
0.0000 0.0000 0.0000
0.0000 0.0000 0.5000
0.5000 0.5000 0.5000
```

Properties
E_tot	-19.29	eV per cell
DOS at the Fermi energy	3.69	states/eV/cell
magnetization	0.01	μB per atom
uncorrected formation energy	-0.05	eV/atom
space-group type	No. 123
excess energy over the best structure of this formula in the dataset	0.000	eV per atom



No. 2
Compound: Ac8TlSi3I4
Source: Alexandria via LeMat-Bulk
Functional: GGA-PBE
Structure: relaxed

Geometry as POSCAR:
```
Ac8TlSi3I4
1.0
9.3689 0.0000 0.0000
0.0000 9.6880 0.2235
-4.6845 -4.6810 6.6257
Ac Tl Si I
8 1 3 4
Direct
0.2410 0.7062 0.9651
0.2410 0.7063 0.4820
0.2669 0.3006 0.5337
0.7242 0.7062 0.9651
0.2758 0.2938 0.0349
0.7331 0.6994 0.4663
0.7590 0.2937 0.5180
0.7590 0.2938 0.0349
0.0000 0.5000 0.0000
0.5000 0.5000 0.0000
0.5000 0.5000 0.5000
0.0000 0.5000 0.5000
0.5000 0.0000 0.0000
0.5000 0.0000 0.5000
0.0000 0.0000 0.0000
0.0000 0.0000 0.5000
```

Properties
E_tot	-71.19	eV per cell
DOS at the Fermi energy	7.51	states/eV/cell
magnetization	0.00	μB per atom
uncorrected formation energy	-0.84	eV/atom
space-group type	No. 166